The following is a PBE-GGA calculation of crystalline Pr2In2O5 at its relaxed geometry, from OQMD via LeMat-Bulk.

## Properties
**Raw total energy**: -6.436 eV per atom

```
data_Pr2In2O5
_chemical_formula_sum 'Pr2 In2 O5'
_cell_length_a 4.1847
_cell_length_b 4.1847
_cell_length_c 9.1063
_cell_angle_alpha 90.00
_cell_angle_beta 90.00
_cell_angle_gamma 90.00
_symmetry_space_group_name_H-M 'P 4/m m m'
_symmetry_Int_Tables_number 123
_symmetry_space_group_name_Hall '-P 4 2'
loop_
_atom_site_label
_atom_site_type_symbol
_atom_site_fract_x
_atom_site_fract_y
_atom_site_fract_z
Pr1 Pr 0.0000 0.0000 0.2448
In1 In 0.5000 0.5000 0.0000
In2 In 0.5000 0.5000 0.5000
O1 O 0.0000 0.0000 0.5000
O2 O 0.0000 0.5000 0.1450
```